[1]
This record from OQMD via LeMat-Bulk describes a relaxed Zr2IrPt crystal. The functional is GGA-PBE.

Output
Its space group is F-43m (216). The value obtained for the raw total energy is -8.605 eV/atom. The calculation puts the formation energy at -0.604 eV per atom.

abc: 4.637 4.637 4.637
angles: 60.00 60.00 60.00
Atoms (fractional coordinates):
Zr (0.000, 0.000, 0.000)
Pt (0.500, 0.500, 0.500)
Zr (0.750, 0.750, 0.750)
Ir (0.250, 0.250, 0.250)

=====

[2]
This record from OQMD via LeMat-Bulk describes a relaxed MgAg crystal. The functional is GGA-PBE.

Output
Its space group is P-6m2 (187). The value obtained for the raw total energy is -2.300 eV/atom.

abc: 5.952 5.952 4.828
angles: 90.00 90.00 120.00
Atoms (fractional coordinates):
Ag (0.335, 0.167, 0.500)
Mg (0.333, 0.667, 0.500)
Ag (0.833, 0.665, 0.500)
Ag (0.833, 0.167, 0.500)
Mg (0.997, 0.499, 0.000)
Mg (0.501, 0.499, 0.000)
Ag (0.000, 0.000, 0.000)
Mg (0.501, 0.003, 0.000)

=====

[3]
This record from OQMD via LeMat-Bulk describes a relaxed YZr3 crystal. The functional is GGA-PBE.

Output
Its space group is P6_3/mmc (194). The distance to the lowest polymorph of the same formula is 1 meV per atom. The value obtained for the raw total energy is -7.973 eV/atom. The calculation puts the formation energy at 0.053 eV per atom.

abc: 6.644 6.644 5.235
angles: 90.00 90.00 120.00
Atoms (fractional coordinates):
Zr (0.506, 0.011, 0.000)
Zr (0.344, 0.172, 0.500)
Zr (0.828, 0.172, 0.500)
Y (0.000, 0.000, 0.000)
Zr (0.506, 0.494, 0.000)
Y (0.333, 0.667, 0.500)
Zr (0.989, 0.494, 0.000)
Zr (0.828, 0.656, 0.500)